The following is a DFT calculation (GGA-PBE) of a relaxed HfCd2Pd3 crystal.

Summary:
D(E_F), states/eV per atom: 0.4157
Formation enthalpy at 0 K, eV/atom: -0.533

Cell lengths 7.2227, 7.2227, 3.4432 Å; angles 90.00, 90.00, 143.49 degrees
Closest atoms and distances in Å follow each position.
Positions (direct):
Hf (0.0000, 0.0000, 0.0000)  8 Pd 2.71-2.84
Cd (0.3287, 0.6713, 0.0000)  8 Pd 2.85-2.96, 2 Cd 3.13
Cd (0.6713, 0.3287, 0.0000)  8 Pd 2.85-2.96, 2 Cd 3.13
Pd (0.1529, 0.8471, 0.5000)  2 Hf 2.71, 6 Cd 2.85-2.96
Pd (0.5000, 0.5000, 0.5000)  4 Hf 2.84, 4 Cd 2.91, 4 Pd 3.08
Pd (0.8471, 0.1529, 0.5000)  2 Hf 2.71, 6 Cd 2.85-2.96